[1]
This record from Alexandria via LeMat-Bulk describes crystalline CsB3Sb at its relaxed geometry. The functional is PBEsol.

The structure in POSCAR format:
```
CsB3Sb
1.0
-3.988 -2.457 0.532
2.489 -3.999 0.189
0.353 0.441 4.680
B Sb Cs
3 1 1
Cartesian
0.176 0.221 2.340
1.244 -1.999 0.095
-1.994 -1.228 0.266
-0.573 -3.007 2.701
0.000 0.000 0.000
```

Output
Uncorrected formation energy (eV per atom): 3.1126

[2]
This record from Alexandria via LeMat-Bulk describes crystalline YCu2OsI at its relaxed geometry. The functional is PBEsol.

The structure in POSCAR format:
```
YCu2OsI
1.0
-0.524 3.248 -3.696
-2.999 -3.157 -2.350
-4.353 2.222 2.570
Y Cu Os I
1 2 1 1
Cartesian
0.000 0.000 0.000
-1.499 -1.579 -1.175
-0.262 1.624 -1.848
-3.938 1.156 -1.738
-2.177 1.111 1.285
```

Output
Uncorrected formation energy (eV per atom): 2.0351

| no. | V (Å³ per atom) | raw total energy (eV/atom) | magnetization (μB per formula unit) |
| --- | --- | --- | --- |
| 1 | 21.0 | -2.20 | 0.00 |
| 2 | 27.0 | -3.86 | 3.53 |